[1]
The following is a GGA-PBE calculation of a relaxed Hg2PtAu crystal, from the Alexandria database.

Computed properties:
- space-group type = Cmm2, No. 35
- total magnetic moment (μB/cell) = 0.0
- E_tot (eV per atom) = -2.36
- formation energy (eV/atom) = 0.124
- DOS(E_F) (states/eV per atom) = 0.36

Unit cell a=3.050 b=3.050 c=8.493 alpha=90.00 beta=90.00 gamma=90.57
Positions (direct):
Au  0.500  0.500  0.729
Hg  0.000  0.000  0.983
Hg  0.500  0.500  0.280
Pt  0.000  0.000  0.508

=====

[2]
The following is a GGA-PBE calculation of a relaxed La3Nd3DyS8 crystal, from the Alexandria database.

Computed properties:
- space-group type = R-3m, No. 166
- total magnetic moment (μB/cell) = 0.0
- E_tot (eV per atom) = -6.56
- uncorrected formation energy (eV per atom) = -2.1087
- DOS(E_F) (states/eV per atom) = 0.49

Unit cell a=8.155 b=8.155 c=8.221 alpha=119.74 beta=90.00 gamma=120.00
Positions (direct):
La  0.000  0.000  0.000
La  0.000  0.500  0.000
La  0.500  0.500  0.000
Nd  0.500  0.000  0.500
Nd  0.500  0.500  0.500
Nd  0.000  0.500  0.500
Dy  0.000  0.000  0.500
S  0.251  0.503  0.254
S  0.749  0.497  0.746
S  0.760  0.519  0.263
S  0.240  0.481  0.737
S  0.760  0.003  0.263
S  0.240  0.997  0.737
S  0.243  0.003  0.263
S  0.757  0.997  0.737

=====

Q: Which value of total magnetic moment does entry 1 give?
A: 0.0 μB/cell

=====

Q: E_tot of number 1 (Hg2PtAu)?
A: -2.36 eV per atom

=====

Q: Which value of total magnetic moment does entry 2 give?
A: 0.0 μB/cell

=====

Q: What is the formula in the second record?
A: La3Nd3DyS8